Entry 1:
Material: Nd3Y2Er8
Method: DFT, PBE
State: optimized geometry

```
Nd3Y2Er8
1.0
0.6644 0.1969 5.9234
5.2911 3.6334 -0.1670
-0.9445 12.7354 0.2322
Er Y Nd
8 2 3
direct
0.7646 0.5500 0.7991
0.2354 0.4500 0.2009
0.7462 0.1759 0.6693
0.2531 0.4861 0.6691
0.7649 0.1480 0.2009
0.7469 0.5139 0.3309
0.2538 0.8241 0.3307
0.2351 0.8520 0.7991
0.7545 0.8277 0.5000
0.2455 0.1723 0.5000
0.6270 0.7316 0.9999
0.0000 0.0000 0.0000
0.3730 0.2684 0.0001
```

## Properties
* formation energy from the elements: 0.150 eV/atom
* magnetic moment: 0.0 μB per formula unit
* total energy: -61.78 eV/cell

Entry 2:
Material: MgPIr2Os
Method: DFT, PBE
State: optimized geometry

```
MgPIr2Os
1.0
-1.3776 0.7687 4.1578
-1.9976 -3.8919 0.0577
3.7088 -1.8803 1.5764
P Os Ir Mg
1 1 2 1
direct
0.0000 0.5000 0.0000
0.5000 0.5000 0.5000
0.5000 0.0000 0.0000
0.0000 0.0000 0.5000
0.0000 0.0000 0.0000
```

## Properties
* formation energy from the elements: 2.047 eV/atom
* magnetic moment: 0.0 μB per formula unit
* total energy: -25.72 eV/cell

Entry 3:
Material: Nd15Sm4Th
Method: DFT, PBE
State: optimized geometry

```
Nd15Sm4Th
1.0
-0.3214 -2.4795 4.5501
3.4812 -3.4801 -1.6506
19.1670 14.7251 9.3782
Nd Sm Th
15 4 1
direct
0.0000 0.5000 0.0978
0.0000 0.5000 0.9022
0.5000 0.0000 0.9022
0.5000 0.0000 0.7005
0.5000 0.0000 0.2995
0.5000 0.5000 0.2007
0.5000 0.5000 0.7993
0.5000 0.5000 0.0000
0.0000 0.5000 0.7005
0.5000 0.5000 0.5998
0.5000 0.5000 0.4002
0.0000 0.5000 0.5000
0.0000 0.5000 0.2995
0.5000 0.0000 0.5000
0.5000 0.0000 0.0978
0.0000 0.0000 0.1997
0.0000 0.0000 0.4001
0.0000 0.0000 0.8003
0.0000 0.0000 0.5999
0.0000 0.0000 0.0000
```

## Properties
* formation energy from the elements: 0.025 eV/atom
* magnetic moment: 0.0 μB per formula unit
* total energy: -97.31 eV/cell